First-principles (GGA+U) data for a geometry-optimized PuMgMoO6 structure, as listed in Alexandria via LeMat-Bulk.

Properties
- Calculated total energy: -8.085 eV/atom
- V: 228 Å³ per cell
- Size of the total moment: 8.00 μB per cell
- Space group: P-31c, No. 163

POSCAR file:
```
PuMgMoO6
1.0
-2.582 -2.411 -4.078
3.297 -2.860 3.173
-6.937 -1.886 5.507
O Mo Mg Pu
12 2 2 2
Cartesian
0.201 -1.317 1.758
-6.424 -5.841 2.844
-5.808 -4.499 0.545
-5.846 -3.445 4.392
-2.246 -2.512 1.800
-0.376 -3.712 0.210
-0.415 -2.658 4.057
-5.222 -2.110 2.101
-7.676 -3.312 2.133
1.453 -3.846 2.469
-1.000 -5.047 2.501
-3.976 -4.645 2.802
-0.397 -3.182 2.133
-5.825 -3.975 2.469
-3.468 -0.943 2.754
0.000 0.000 0.000
-2.357 -3.032 -0.284
-3.866 -4.125 4.886
```